1.
{"formula": "GdZrTiIn", "functional": "GGA-PBE", "state": "relaxed", "lattice": [[0.000, 3.622, 3.622], [3.622, 0.000, 3.622], [3.622, 3.622, 0.000]], "species": ["Gd", "Zr", "Ti", "In"], "fractional_positions": [[0.000, 0.000, 0.000], [0.500, 0.500, 0.500], [0.250, 0.250, 0.250], [0.750, 0.750, 0.750]], "mass_density_g_cm3": 7.18, "m_tot_mub_per_cell": 10.26, "formation_enthalpy_0k_mev_per_atom": -44}

2.
{"formula": "CrHgTeN2", "functional": "GGA-PBE", "state": "relaxed", "lattice": [[3.898, 0.000, 0.000], [0.000, 3.898, 0.000], [0.000, 0.000, 5.769]], "species": ["Cr", "Hg", "Te", "N", "N"], "fractional_positions": [[0.000, 0.000, 0.000], [0.500, 0.500, 0.500], [0.000, 0.000, 0.500], [0.000, 0.500, 0.000], [0.500, 0.000, 0.000]], "mass_density_g_cm3": 7.73, "m_tot_mub_per_cell": 0.34, "e_form_raw_ev_per_atom": 0.627}

3.
{"formula": "AlZn2Cd", "functional": "GGA-PBE", "state": "relaxed", "lattice": [[3.252, 0.000, 0.000], [0.000, 3.252, 0.000], [0.000, 0.000, 6.755]], "species": ["Al", "Zn", "Zn", "Cd"], "fractional_positions": [[0.000, 0.000, 0.000], [0.500, 0.500, 0.220], [0.500, 0.500, 0.780], [0.000, 0.000, 0.500]], "mass_density_g_cm3": 6.28, "m_tot_mub_per_cell": 0.00, "formation_enthalpy_0k_mev_per_atom": 121}

4.
{"formula": "Ag2PW", "functional": "GGA-PBE", "state": "relaxed", "lattice": [[-1.831, 1.831, 4.936], [1.831, -1.831, 4.936], [1.831, 1.831, -4.936]], "species": ["Ag", "Ag", "P", "W"], "fractional_positions": [[0.250, 0.750, 0.500], [0.750, 0.250, 0.500], [0.000, 0.000, 0.000], [0.500, 0.500, 0.000]], "mass_density_g_cm3": 10.80, "m_tot_mub_per_cell": 0.00, "formation_enthalpy_0k_mev_per_atom": 644}

5.
{"formula": "CrReAu2", "functional": "GGA-PBE", "state": "relaxed", "lattice": [[2.840, 0.000, 0.000], [0.000, 4.151, 0.000], [0.000, 0.000, 5.462]], "species": ["Cr", "Re", "Au", "Au"], "fractional_positions": [[0.000, 0.000, 0.000], [0.000, 0.000, 0.500], [0.500, 0.500, 0.251], [0.500, 0.500, 0.749]], "mass_density_g_cm3": 16.30, "m_tot_mub_per_cell": 2.36, "formation_enthalpy_0k_mev_per_atom": 492}

6.
{"formula": "Zn2TePt", "functional": "GGA-PBE", "state": "relaxed", "lattice": [[2.149, -2.184, 0.000], [2.149, 2.184, 0.000], [0.000, 0.000, 8.085]], "species": ["Zn", "Zn", "Te", "Pt"], "fractional_positions": [[0.000, 0.000, 0.000], [0.500, 0.500, 0.200], [0.000, 0.000, 0.542], [0.500, 0.500, 0.809]], "mass_density_g_cm3": 9.92, "m_tot_mub_per_cell": 0.00, "e_form_raw_ev_per_atom": 0.049}

7.
{"formula": "IrAuNF", "functional": "GGA-PBE", "state": "relaxed", "lattice": [[2.998, 0.000, 0.000], [-0.020, 3.107, 0.000], [-1.457, -0.883, 6.750]], "species": ["Ir", "Au", "N", "F"], "fractional_positions": [[0.000, 0.000, 0.000], [0.640, 0.506, 0.282], [0.931, 0.458, 0.858], [0.244, 0.854, 0.496]], "mass_density_g_cm3": 11.15, "m_tot_mub_per_cell": 0.00, "e_form_raw_ev_per_atom": 0.155}

8.
{"formula": "Dy2Tl2Au", "functional": "GGA-PBE", "state": "relaxed", "lattice": [[1.809, -10.339, 0.000], [1.809, 10.339, 0.000], [0.000, 0.000, 3.594]], "species": ["Dy", "Dy", "Tl", "Tl", "Au"], "fractional_positions": [[0.086, 0.914, 0.000], [0.914, 0.086, 0.000], [0.312, 0.688, 0.500], [0.688, 0.312, 0.500], [0.500, 0.500, 0.500]], "mass_density_g_cm3": 11.49, "m_tot_mub_per_cell": 0.00, "formation_enthalpy_0k_mev_per_atom": -389}